(1)
Compound: CrIr
Source: the Alexandria database
Functional: PBE
Structure: relaxed

CIF file:
```
data_CrIr
_chemical_formula_sum 'Cr6 Ir6'
_cell_length_a 2.6694
_cell_length_b 2.6694
_cell_length_c 26.1102
_cell_angle_alpha 90.00
_cell_angle_beta 90.00
_cell_angle_gamma 120.00
_symmetry_space_group_name_H-M 'R -3 m'
_symmetry_Int_Tables_number 166
_symmetry_space_group_name_Hall '-R 3 2"'
loop_
_atom_site_label
_atom_site_fract_x
_atom_site_fract_y
_atom_site_fract_z
Cr1 0.0000 0.0000 0.1255
Ir1 0.0000 0.0000 0.3806
```

As for the crystal system: trigonal. For the magnetization, the calculation gives 0.0 μB per formula unit. Its energy of formation is 0.014 eV per atom.

---

(2)
Compound: CaPa2Os
Source: the Alexandria database
Functional: PBE
Structure: relaxed

CIF file:
```
data_CaPa2Os
_chemical_formula_sum 'Ca3 Pa6 Os3'
_cell_length_a 3.8330
_cell_length_b 3.8330
_cell_length_c 27.6090
_cell_angle_alpha 90.00
_cell_angle_beta 90.00
_cell_angle_gamma 120.00
_symmetry_space_group_name_H-M 'R -3 m'
_symmetry_Int_Tables_number 166
_symmetry_space_group_name_Hall '-R 3 2"'
loop_
_atom_site_label
_atom_site_fract_x
_atom_site_fract_y
_atom_site_fract_z
Ca1 0.0000 0.0000 0.0000
Pa1 0.0000 0.0000 0.2256
Os1 0.0000 0.0000 0.5000
```

As for the crystal system: trigonal. For the magnetization, the calculation gives 0.0 μB per formula unit. Its energy of formation is 0.154 eV per atom.

---

Please write out number 1 again, unchanged.
Compound: CrIr
Source: the Alexandria database
Functional: PBE
Structure: relaxed

CIF file:
```
data_CrIr
_chemical_formula_sum 'Cr6 Ir6'
_cell_length_a 2.6694
_cell_length_b 2.6694
_cell_length_c 26.1102
_cell_angle_alpha 90.00
_cell_angle_beta 90.00
_cell_angle_gamma 120.00
_symmetry_space_group_name_H-M 'R -3 m'
_symmetry_Int_Tables_number 166
_symmetry_space_group_name_Hall '-R 3 2"'
loop_
_atom_site_label
_atom_site_fract_x
_atom_site_fract_y
_atom_site_fract_z
Cr1 0.0000 0.0000 0.1255
Ir1 0.0000 0.0000 0.3806
```

As for the crystal system: trigonal. For the magnetization, the calculation gives 0.0 μB per formula unit. Its energy of formation is 0.014 eV per atom.